# Mn2CuRh2

A geometry-optimized Mn2CuRh2 structure (GGA-PBE, Alexandria via LeMat-Bulk).

a b c (Å): 7.159 7.159 2.849
angles (deg): 90.00 90.00 90.00
Site moments in Bohr magnetons follow the coordinates.
Sites, in units of the cell vectors:
Cu: 0.000 0.000 0.000  0.06
Cu: 0.500 0.500 0.000  0.06
Rh: 0.862 0.638 0.000  0.12
Rh: 0.362 0.862 0.000  0.12
Rh: 0.138 0.362 0.000  0.12
Rh: 0.638 0.138 0.000  0.12
Mn: 0.161 0.661 0.500  3.27
Mn: 0.839 0.339 0.500  3.27
Mn: 0.339 0.161 0.500  3.30
Mn: 0.661 0.839 0.500  3.30

Values from the calculation:
The calculation puts the calculated volume at 73.02 Å³/f.u. The formation energy is 0.129 eV per atom. For the total magnetization, the calculation gives 14.16 Bohr magnetons per cell.